{
  "formula": "Li2TaCo",
  "functional": "PBE",
  "state": "relaxed",
  "cell": [[2.5963, 0.0000, 0.0000], [0.0000, 4.5285, 0.0000], [0.0000, 0.0000, 4.8561]],
  "species": ["Co", "Li", "Li", "Ta"],
  "frac_coords": [[0.5000, 0.5000, 0.7500], [0.0000, 0.0000, 0.9831], [0.0000, 0.0000, 0.5169], [0.5000, 0.5000, 0.2500]],
  "de_polymorph_mev_per_atom": 203,
  "formation_enthalpy_0k_ev_per_atom": 0.37
}



{
  "formula": "Sr2InCu",
  "functional": "PBE",
  "state": "relaxed",
  "cell": [[-3.3844, -2.5135, -2.0191], [3.1869, -1.7335, -3.1839], [2.7691, -5.3616, 2.0328]],
  "species": ["Sr", "Sr", "Cu", "In"],
  "frac_coords": [[0.0000, 0.9810, 0.9129], [0.5000, 0.2690, 0.3366], [0.0000, 0.6822, 0.5112], [0.5000, 0.5678, 0.7394]],
  "formation_enthalpy_0k_ev_per_atom": -0.21
}



{
  "formula": "K2H2F3",
  "functional": "PBE",
  "state": "relaxed",
  "cell": [[-1.0919, -1.5842, -4.2371], [3.0094, -2.5389, 0.1737], [-5.0949, -5.8104, 3.3444]],
  "species": ["K", "K", "H", "H", "F", "F", "F"],
  "frac_coords": [[0.2406, 0.5000, 0.7361], [0.7594, 0.5000, 0.2639], [0.2337, 0.0000, 0.0915], [0.7663, 0.0000, 0.9085], [0.4002, 0.0000, 0.1690], [0.0000, 0.0000, 0.0000], [0.5998, 0.0000, 0.8310]],
  "energy_ev_per_atom": -3.8083
}



{
  "formula": "LiCaSm2Se4",
  "functional": "PBE",
  "state": "relaxed",
  "cell": [[-3.5713, -1.1763, -1.7541], [2.3374, -6.8179, -0.1867], [-1.8787, -3.3185, 6.0504]],
  "species": ["Li", "Ca", "Sm", "Sm", "Se", "Se", "Se", "Se"],
  "frac_coords": [[0.0000, 0.5000, 0.5000], [0.5000, 0.5000, 0.0000], [0.0000, 0.0000, 0.0000], [0.5000, 0.0000, 0.5000], [0.0000, 0.7457, 0.7465], [0.0000, 0.2543, 0.2535], [0.5000, 0.7451, 0.2552], [0.5000, 0.2549, 0.7448]],
  "energy_ev_per_atom": -5.2084
}



{
  "formula": "Sr3SnN",
  "functional": "PBE",
  "state": "relaxed",
  "cell": [[-2.9316, 6.8450, 1.2989], [-0.4805, -3.1566, -6.8513], [-6.4993, -3.1450, 1.9048]],
  "species": ["Sr", "Sr", "Sr", "Sr", "Sr", "Sr", "Sn", "Sn", "N", "N"],
  "frac_coords": [[0.4643, 0.0621, 0.2500], [0.9379, 0.5357, 0.2500], [0.0621, 0.4643, 0.7500], [0.5357, 0.9379, 0.7500], [0.0000, 0.0000, 0.0000], [0.0000, 0.0000, 0.5000], [0.4468, 0.5532, 0.2500], [0.5532, 0.4468, 0.7500], [0.1195, 0.8805, 0.2500], [0.8805, 0.1195, 0.7500]],
  "energy_ev_per_atom": -3.7372
}



{
  "formula": "NiHgN2",
  "functional": "PBE",
  "state": "relaxed",
  "cell": [[5.0287, 0.0000, 0.0000], [0.0000, 5.0287, 0.0000], [2.5143, 2.5143, 4.2444]],
  "species": ["Ni", "Ni", "Hg", "Hg", "N", "N", "N", "N"],
  "frac_coords": [[0.5000, 0.5000, 0.0000], [0.2500, 0.7500, 0.5000], [0.0000, 0.0000, 0.0000], [0.7500, 0.2500, 0.5000], [0.5366, 0.1250, 0.2500], [0.2134, 0.6250, 0.2500], [0.3750, 0.4634, 0.7500], [0.8750, 0.7866, 0.7500]],
  "energy_ev_per_atom": -4.6954
}



{
  "formula": "Ti2P2H",
  "functional": "PBE",
  "state": "relaxed",
  "cell": [[-2.1318, -0.4913, 2.6016], [-3.8449, -3.5005, -3.8116], [4.0147, -4.6232, 0.1961]],
  "species": ["Ti", "Ti", "Ti", "Ti", "P", "P", "P", "P", "H", "H"],
  "frac_coords": [[0.4500, 0.3982, 0.9000], [0.8557, 0.0477, 0.7114], [0.1443, 0.5477, 0.2886], [0.5500, 0.8982, 0.1000], [0.9288, 0.6945, 0.8576], [0.7874, 0.4076, 0.5747], [0.2126, 0.9076, 0.4253], [0.0712, 0.1945, 0.1424], [0.4169, 0.0863, 0.8337], [0.5831, 0.5863, 0.1663]],
  "energy_ev_per_atom": -6.7313
}



{
  "formula": "U2NbGa",
  "functional": "PBE",
  "state": "relaxed",
  "cell": [[-3.6420, 2.8948, -0.4816], [-0.1222, -0.8152, -3.9764], [-2.5450, -3.0837, 0.7104]],
  "species": ["Nb", "U", "U", "Ga"],
  "frac_coords": [[0.5000, 0.0000, 0.0000], [0.0000, 0.0000, 0.5000], [0.0000, 0.5000, 0.0000], [0.5000, 0.5000, 0.5000]],
  "de_polymorph_mev_per_atom": 0,
  "formation_enthalpy_0k_ev_per_atom": -0.03
}



{
  "formula": "Mg2PBr",
  "functional": "PBE",
  "state": "relaxed",
  "cell": [[7.5106, 0.0377, 0.0109], [5.7152, 4.8730, -0.0109], [-6.5671, -2.5788, 2.5756]],
  "species": ["Br", "Mg", "Mg", "P"],
  "frac_coords": [[0.7167, 0.2167, 0.5000], [0.0021, 0.0021, 0.0000], [0.3241, 0.8241, 0.5000], [0.4571, 0.4571, 0.0000]],
  "de_polymorph_mev_per_atom": 255
}



{
  "formula": "Hf3AlZn3",
  "functional": "PBE",
  "state": "relaxed",
  "cell": [[-3.2357, 2.0176, 1.8287], [-1.5939, -2.7846, 0.2519], [6.2305, -1.0471, 7.2896]],
  "species": ["Hf", "Hf", "Hf", "Al", "Zn", "Zn", "Zn"],
  "frac_coords": [[0.2962, 0.7962, 0.5925], [0.7025, 0.2025, 0.4049], [0.0013, 0.0013, 0.0025], [0.4325, 0.4325, 0.8650], [0.1410, 0.6410, 0.2819], [0.8585, 0.3585, 0.7171], [0.5680, 0.5680, 0.1360]],
  "formation_enthalpy_0k_ev_per_atom": -0.25
}



{
  "formula": "NbAlHgTe2",
  "functional": "PBE",
  "state": "relaxed",
  "cell": [[5.3106, 0.0000, 0.0000], [0.0000, 5.1896, 0.0000], [0.0000, 0.0000, 5.3106]],
  "species": ["Nb", "Te", "Te", "Hg", "Al"],
  "frac_coords": [[0.0000, 0.5000, 0.0000], [0.0000, 0.0000, 0.5000], [0.5000, 0.0000, 0.0000], [0.5000, 0.5000, 0.5000], [0.0000, 0.0000, 0.0000]],
  "energy_ev_per_atom": -3.3086
}



{
  "formula": "CoHg4",
  "functional": "PBE",
  "state": "relaxed",
  "cell": [[3.7790, -4.9285, 0.7177], [-1.0963, 6.1424, -0.3929], [-2.1757, -0.3713, 5.8493]],
  "species": ["Co", "Hg", "Hg", "Hg", "Hg"],
  "frac_coords": [[0.0000, 0.0000, 0.0000], [0.7676, 0.5000, 0.2676], [0.2324, 0.5000, 0.7324], [0.5000, 0.2324, 0.7324], [0.5000, 0.7676, 0.2676]],
  "formation_enthalpy_0k_ev_per_atom": 0.25
}



{
  "formula": "PrHoErTm3",
  "functional": "PBE",
  "state": "relaxed",
  "cell": [[-4.9284, -0.8340, -0.1114], [3.7251, -6.8907, -1.0239], [0.0230, -1.4589, 9.9019]],
  "species": ["Pr", "Pr", "Ho", "Ho", "Er", "Er", "Tm", "Tm", "Tm", "Tm", "Tm", "Tm"],
  "frac_coords": [[0.5002, 0.0003, 0.7500], [0.4998, 0.9997, 0.2500], [0.0000, 0.0000, 0.5000], [0.0000, 0.0000, 0.0000], [0.8314, 0.6628, 0.7500], [0.1686, 0.3372, 0.2500], [0.6679, 0.3359, 0.4999], [0.3321, 0.6641, 0.5001], [0.3321, 0.6641, 0.9999], [0.6679, 0.3359, 0.0001], [0.1685, 0.3370, 0.7500], [0.8315, 0.6630, 0.2500]],
  "formation_enthalpy_0k_ev_per_atom": 0.03
}



{
  "formula": "LiZnCoSb",
  "functional": "PBE",
  "state": "relaxed",
  "cell": [[4.3419, 0.0000, 0.0000], [2.1710, 3.7602, 0.0000], [2.1710, 1.2534, 3.5452]],
  "species": ["Sb", "Zn", "Co", "Li"],
  "frac_coords": [[0.5000, 0.5000, 0.5000], [0.0000, 0.0000, 0.0000], [0.7500, 0.7500, 0.7500], [0.2500, 0.2500, 0.2500]],
  "energy_ev_per_atom": -3.7691
}



{
  "formula": "BeI2NF",
  "functional": "PBE",
  "state": "relaxed",
  "cell": [[5.5848, 0.0000, 0.0000], [0.0000, 5.5848, 0.0000], [0.0000, 0.0000, 3.0712]],
  "species": ["I", "I", "Be", "N", "F"],
  "frac_coords": [[0.0000, 0.5000, 0.0000], [0.5000, 0.0000, 0.0000], [0.0000, 0.0000, 0.0000], [0.0000, 0.0000, 0.5000], [0.5000, 0.5000, 0.5000]],
  "de_polymorph_mev_per_atom": 0
}



{
  "formula": "Sc3TiTl",
  "functional": "PBE",
  "state": "relaxed",
  "cell": [[5.0341, 0.0000, 0.0000], [0.0000, 5.0341, 0.0000], [0.0000, 0.0000, 5.0341]],
  "species": ["Sc", "Sc", "Sc", "Tl", "Ti"],
  "frac_coords": [[0.0000, 0.5000, 0.0000], [0.0000, 0.0000, 0.5000], [0.5000, 0.0000, 0.0000], [0.5000, 0.5000, 0.5000], [0.0000, 0.0000, 0.0000]],
  "de_polymorph_mev_per_atom": 0,
  "formation_enthalpy_0k_ev_per_atom": 0.52
}



{
  "formula": "GaOsO6",
  "functional": "PBE",
  "state": "relaxed",
  "cell": [[5.3406, -0.7220, -0.0619], [-2.6571, 4.6886, -0.0619], [-0.5548, -0.8201, 4.6865]],
  "species": ["Ga", "Os", "O", "O", "O", "O", "O", "O"],
  "frac_coords": [[0.0000, 0.0000, 0.0000], [0.5000, 0.5000, 0.5000], [0.2507, 0.2507, 0.7490], [0.4036, 0.1399, 0.2715], [0.7493, 0.7493, 0.2510], [0.8601, 0.5964, 0.7285], [0.5964, 0.8601, 0.7285], [0.1399, 0.4036, 0.2715]],
  "energy_ev_per_atom": -6.1652
}



{
  "formula": "Fe3AsI9",
  "functional": "PBE",
  "state": "relaxed",
  "cell": [[-8.6352, 4.3772, -2.5378], [-8.9874, -6.5132, -0.3880], [-6.8393, 3.4795, 9.5381]],
  "species": ["Fe", "Fe", "Fe", "Fe", "Fe", "Fe", "As", "As", "I", "I", "I", "I", "I", "I", "I", "I", "I", "I", "I", "I", "I", "I", "I", "I", "I", "I"],
  "frac_coords": [[0.8140, 0.5547, 0.6735], [0.9577, 0.0547, 0.1735], [0.9896, 0.9483, 0.8314], [0.2308, 0.4483, 0.3314], [0.5890, 0.2418, 0.7212], [0.4479, 0.7418, 0.2212], [0.0114, 0.5153, 0.0102], [0.4631, 0.0153, 0.5102], [0.3059, 0.1908, 0.3441], [0.1592, 0.6908, 0.8441], [0.3732, 0.2922, 0.9274], [0.4072, 0.7922, 0.4274], [0.1670, 0.0816, 0.7075], [0.0439, 0.5816, 0.2075], [0.7165, 0.7440, 0.0637], [0.4758, 0.2440, 0.5637], [0.8136, 0.9377, 0.3653], [0.8834, 0.4377, 0.8653], [0.5739, 0.7833, 0.7017], [0.9412, 0.2833, 0.2017], [0.4921, 0.4901, 0.2169], [0.8009, 0.9901, 0.7169], [0.7499, 0.3964, 0.5921], [0.2617, 0.8964, 0.0921], [0.8159, 0.0814, 0.0227], [0.0799, 0.5814, 0.5227]],
  "energy_ev_per_atom": -3.4501
}



{
  "formula": "MgOs2Pt",
  "functional": "PBE",
  "state": "relaxed",
  "cell": [[-1.1795, 0.3385, 3.6484], [-1.8444, -2.0616, -0.4050], [2.0434, -5.8563, 1.2039]],
  "species": ["Mg", "Os", "Os", "Pt"],
  "frac_coords": [[0.5000, 0.7651, 0.7345], [0.0000, 0.9703, 0.0296], [0.5000, 0.2823, 0.2180], [0.0000, 0.4823, 0.5178]],
  "formation_enthalpy_0k_ev_per_atom": -0.06
}



{
  "formula": "CaZnInAg2",
  "functional": "PBE",
  "state": "relaxed",
  "cell": [[-2.0198, 3.0416, -1.1471], [-2.1161, -2.5851, -3.1284], [-2.4486, -1.6364, 6.3565]],
  "species": ["Ca", "Zn", "In", "Ag", "Ag"],
  "frac_coords": [[0.4356, 0.4356, 0.8711], [0.8385, 0.8385, 0.6770], [0.1766, 0.6766, 0.3532], [0.7200, 0.2200, 0.4399], [0.0415, 0.0415, 0.0830]],
  "formation_enthalpy_0k_ev_per_atom": -0.22
}



{
  "formula": "CsPaRhN3",
  "functional": "PBE",
  "state": "relaxed",
  "cell": [[-2.5028, -2.6709, -0.1469], [2.2366, -2.5144, 7.6086], [-6.7562, 6.3070, 0.4362]],
  "species": ["Cs", "Cs", "Pa", "Pa", "Rh", "Rh", "N", "N", "N", "N", "N", "N"],
  "frac_coords": [[0.2500, 0.2072, 0.2113], [0.7500, 0.7928, 0.7887], [0.2500, 0.6647, 0.1440], [0.7500, 0.3353, 0.8560], [0.2500, 0.0493, 0.6082], [0.7500, 0.9507, 0.3918], [0.7500, 0.8372, 0.1555], [0.2500, 0.1628, 0.8445], [0.2500, 0.8505, 0.4024], [0.7500, 0.1495, 0.5976], [0.7500, 0.4827, 0.1120], [0.2500, 0.5173, 0.8880]],
  "energy_ev_per_atom": -7.7036
}



{
  "formula": "Rb3LuCl6",
  "functional": "PBE",
  "state": "relaxed",
  "cell": [[13.5146, -0.0569, 0.0329], [11.1653, 7.6146, 0.0329], [2.0595, 0.6307, 12.8821]],
  "species": ["Lu", "Lu", "Lu", "Lu", "Rb", "Rb", "Rb", "Rb", "Rb", "Rb", "Rb", "Rb", "Rb", "Rb", "Rb", "Rb", "Cl", "Cl", "Cl", "Cl", "Cl", "Cl", "Cl", "Cl", "Cl", "Cl", "Cl", "Cl", "Cl", "Cl", "Cl", "Cl", "Cl", "Cl", "Cl", "Cl", "Cl", "Cl", "Cl", "Cl"],
  "frac_coords": [[0.7973, 0.2027, 0.7500], [0.2027, 0.7973, 0.2500], [0.5000, 0.0000, 0.5000], [0.0000, 0.5000, 0.0000], [0.2835, 0.8250, 0.5570], [0.7165, 0.1750, 0.4430], [0.1750, 0.7165, 0.9430], [0.8250, 0.2835, 0.0570], [0.4711, 0.8351, 0.8531], [0.5289, 0.1649, 0.1469], [0.1649, 0.5289, 0.6469], [0.8351, 0.4711, 0.3531], [0.6470, 0.0243, 0.8072], [0.3530, 0.9757, 0.1928], [0.9757, 0.3530, 0.6928], [0.0243, 0.6470, 0.3072], [0.6127, 0.7292, 0.5744], [0.3873, 0.2708, 0.4256], [0.2708, 0.3873, 0.9256], [0.7292, 0.6127, 0.0744], [0.5185, 0.3614, 0.6826], [0.4815, 0.6386, 0.3174], [0.6386, 0.4815, 0.8174], [0.3614, 0.5185, 0.1826], [0.7890, 0.8475, 0.5344], [0.2110, 0.1525, 0.4656], [0.1525, 0.2110, 0.9656], [0.8475, 0.7890, 0.0344], [0.9026, 0.9759, 0.2043], [0.0974, 0.0241, 0.7957], [0.0241, 0.0974, 0.2957], [0.9759, 0.9026, 0.7043], [0.7371, 0.1529, 0.9341], [0.2629, 0.8471, 0.0659], [0.8471, 0.2629, 0.5659], [0.1529, 0.7371, 0.4341], [0.3702, 0.1302, 0.6833], [0.6298, 0.8698, 0.3167], [0.8698, 0.6298, 0.8167], [0.1302, 0.3702, 0.1833]],
  "energy_ev_per_atom": -3.9940
}



{
  "formula": "BaTc2Pt",
  "functional": "PBE",
  "state": "relaxed",
  "cell": [[-2.4449, -0.5168, -1.4875], [1.4197, -1.9063, -1.6756], [-2.1627, -6.8172, 5.9233]],
  "species": ["Ba", "Pt", "Tc", "Tc"],
  "frac_coords": [[0.5000, 0.5000, 0.2500], [0.5000, 0.5000, 0.7500], [0.0000, 0.0000, 0.9481], [0.0000, 0.0000, 0.5519]],
  "de_polymorph_mev_per_atom": 601,
  "formation_enthalpy_0k_ev_per_atom": 0.80
}



| no. | M_tot (μB per cell) |
| --- | --- |
| 1 | 0.73 |
| 2 | 0.00 |
| 3 | 0.00 |
| 4 | 0.00 |
| 5 | 0.00 |
| 6 | 0.00 |
| 7 | 0.00 |
| 8 | 1.85 |
| 9 | 0.00 |
| 10 | 0.00 |
| 11 | 2.36 |
| 12 | 1.25 |
| 13 | 0.00 |
| 14 | 0.00 |
| 15 | 0.00 |
| 16 | 0.00 |
| 17 | 1.06 |
| 18 | 24.00 |
| 19 | 0.00 |
| 20 | 0.00 |
| 21 | 0.00 |
| 22 | 0.00 |
| 23 | 0.00 |